The following is a DFT calculation (PBE) of crystalline InPdI2Br at its relaxed geometry.

a b c (Å): 5.936 5.389 5.936
angles (deg): 90.00 90.00 90.00
Site moments in Bohr magnetons follow the coordinates.
Fractional coordinates of all 5 atoms:
I1 0.500 0.000 0.000  0.02
I2 0.000 0.000 0.500  0.01
In1 0.000 0.000 0.000  0.00
Br1 0.000 0.500 0.000  0.00
Pd1 0.500 0.500 0.500  0.42

Values from the calculation:
SG: P4/mmm
raw formation energy: 0.200 eV per atom
total magnetization: 0.5 μB/cell
E: -2.34 eV per atom
N(E_F): 1.619 states/eV per atom
volume: 37.98 A^3/atom